The following is a DFT calculation (PBE) of crystalline Sc2ReSb at its relaxed geometry.

The space group is P4/mmm (No. 123) and the conventional cell measures 3.532, 3.532 and 6.278 Å, with angles of 90.00, 90.00 and 90.00 degrees. Symmetry generates all atoms from Sc at (0.000, 0.000, 0.230), Re at (0.500, 0.500, 0.000) and Sb at (0.500, 0.500, 0.500).

As for the formation energy (no corrections): -0.3855 eV per atom.